A plane-wave DFT calculation with PBE+U was carried out for CoSe2O after structural relaxation.

Cell and atoms, written as POSCAR:
```
CoSe2O
1.0
2.9975 -5.5468 0.5423
1.9406 -5.1989 -3.0417
5.0070 -3.4212 -1.8087
Se Co O
2 1 1
Direct
0.1044 0.1044 0.1044
0.8956 0.8956 0.8956
0.5000 0.5000 0.5000
0.0000 0.0000 0.0000
```

Calculated values
- Raw total energy: -4.268 eV per atom
- Space group: R-3m, No. 166
- Total magnetic moment: 0.9 μB/cell

A plane-wave DFT calculation with PBE+U was carried out for CoSeO4 after structural relaxation.

Cell and atoms, written as POSCAR:
```
CoSeO4
1.0
4.9705 0.0020 0.0002
-1.9159 4.5866 -0.0001
-0.0001 -0.0003 6.7005
O Co Se
8 2 2
Direct
0.7799 0.7194 0.2500
0.7586 0.2414 0.4603
0.7196 0.7802 0.7500
0.2804 0.2198 0.2500
0.2413 0.7586 0.9602
0.7587 0.2414 0.0398
0.2414 0.7586 0.5397
0.2201 0.2806 0.7500
0.0000 0.0000 0.5000
0.0000 0.0000 0.0000
0.6516 0.3484 0.2500
0.3484 0.6516 0.7500
```

Calculated values
- Raw total energy: -5.533 eV per atom
- Space group: Cmcm, No. 63
- Total magnetic moment: 6.0 μB/cell

A plane-wave DFT calculation with PBE+U was carried out for SrCoSe2O8 after structural relaxation.

Cell and atoms, written as POSCAR:
```
SrCoSe2O8
1.0
-0.4494 4.1807 -2.7548
-2.6863 3.8777 1.7366
5.0213 5.4521 2.8686
Co O Se Sr
1 8 2 1
Direct
0.0000 0.0000 0.0000
0.9562 0.6000 0.1704
0.6000 0.2734 0.1704
0.2734 0.9562 0.1704
0.4000 0.7266 0.8296
0.7266 0.0438 0.8296
0.1803 0.1803 0.4590
0.0438 0.4000 0.8296
0.8197 0.8197 0.5410
0.2560 0.2560 0.2321
0.7440 0.7440 0.7679
0.5000 0.5000 0.5000
```

Calculated values
- Raw total energy: -5.639 eV per atom
- Space group: R-3, No. 148
- Total magnetic moment: 3.0 μB/cell

A plane-wave DFT calculation with PBE+U was carried out for SrCo3Se4O12 after structural relaxation.

Cell and atoms, written as POSCAR:
```
SrCo3Se4O12
1.0
6.9456 -0.4700 -0.6529
-2.1296 6.6277 -0.6529
-2.1296 -2.7229 6.0777
Co Sr O Se
3 1 12 4
Direct
0.4310 0.0000 0.5690
0.0000 0.5690 0.4310
0.5690 0.4310 0.0000
0.0000 0.0000 0.0000
0.2307 0.3087 0.8852
0.8852 0.2307 0.3087
0.7693 0.1148 0.6913
0.3087 0.8852 0.2307
0.5000 0.1086 0.8914
0.1086 0.8914 0.5000
0.3271 0.6729 0.5000
0.6729 0.5000 0.3271
0.6913 0.7693 0.1148
0.8914 0.5000 0.1086
0.1148 0.6913 0.7693
0.5000 0.3271 0.6729
0.0453 0.5000 0.9547
0.5000 0.5000 0.5000
0.5000 0.9547 0.0453
0.9547 0.0453 0.5000
```

Calculated values
- Raw total energy: -5.175 eV per atom
- Space group: R32, No. 155
- Total magnetic moment: 0.0 μB/cell

A plane-wave DFT calculation with PBE+U was carried out for TlCo2Se2O6 after structural relaxation.

Cell and atoms, written as POSCAR:
```
TlCo2Se2O6
1.0
5.5857 0.2348 -0.5530
3.2569 6.0065 -0.8829
-0.9761 -3.8425 5.6427
Tl O Se Co
1 6 2 2
Direct
0.5000 0.0000 0.5000
0.1040 0.9052 0.6199
0.5231 0.3179 0.1071
0.4769 0.6821 0.8929
0.8960 0.0948 0.3801
0.9202 0.4323 0.0997
0.0798 0.5677 0.9003
0.8438 0.2836 0.2116
0.1562 0.7164 0.7884
0.1298 0.6818 0.2472
0.8702 0.3182 0.7528
```

Calculated values
- Raw total energy: -5.116 eV per atom
- Space group: P-1, No. 2
- Total magnetic moment: 5.0 μB/cell

A plane-wave DFT calculation with PBE+U was carried out for Tl2CoSeO4 after structural relaxation.

Cell and atoms, written as POSCAR:
```
Tl2CoSeO4
1.0
-2.0606 -3.4208 -4.1688
1.3426 -6.6884 0.8275
-8.9351 -2.7121 2.6448
Tl O Se Co
4 8 2 2
Direct
0.5660 0.5000 0.8681
0.8160 0.0000 0.3681
0.1840 0.0000 0.6319
0.9340 0.5000 0.1319
0.3012 0.9906 0.8639
0.1557 0.0094 0.1361
0.7082 0.9906 0.1361
0.5943 0.4906 0.3639
0.4488 0.5094 0.6361
0.9152 0.4906 0.6361
0.0418 0.5094 0.3639
0.8348 0.0094 0.8639
0.5000 0.0000 0.0000
0.2500 0.5000 0.5000
0.0000 0.0000 0.0000
0.7500 0.5000 0.5000
```

Calculated values
- Raw total energy: -4.732 eV per atom
- Space group: Fddd, No. 70
- Total magnetic moment: 3.3 μB/cell

A plane-wave DFT calculation with PBE+U was carried out for TlCoSe2O6 after structural relaxation.

Cell and atoms, written as POSCAR:
```
TlCoSe2O6
1.0
5.4128 0.0000 0.0000
2.7064 4.6876 0.0000
2.7064 1.5625 6.4449
Co O Se Tl
1 6 2 1
Direct
0.5000 0.5000 0.5000
0.4929 0.2885 0.3170
0.7115 0.0984 0.6830
0.2885 0.9016 0.3170
0.5071 0.7115 0.6830
0.9016 0.4929 0.3170
0.0984 0.5071 0.6830
0.2564 0.2564 0.2308
0.7436 0.7436 0.7692
0.0000 0.0000 0.0000
```

Calculated values
- Raw total energy: -5.150 eV per atom
- Space group: R-3, No. 148
- Total magnetic moment: 2.0 μB/cell

A plane-wave DFT calculation with PBE+U was carried out for Zn2CoSeO6 after structural relaxation.

Cell and atoms, written as POSCAR:
```
Zn2CoSeO6
1.0
-0.4672 2.5811 -4.4164
-6.4168 1.3821 0.6878
0.9201 5.9932 2.6066
Zn Co O Se
4 2 12 2
Direct
0.1897 0.7933 0.5907
0.3103 0.4093 0.2067
0.8103 0.2067 0.4093
0.6897 0.5907 0.7933
0.2500 0.9175 0.0825
0.7500 0.0825 0.9175
0.3988 0.8688 0.3378
0.8988 0.3378 0.8688
0.3422 0.5264 0.7227
0.5983 0.8196 0.9709
0.0983 0.9709 0.8196
0.9017 0.0291 0.1804
0.6012 0.1312 0.6622
0.6578 0.4736 0.2773
0.1012 0.6622 0.1312
0.4017 0.1804 0.0291
0.1578 0.2773 0.4736
0.8422 0.7227 0.5264
0.2500 0.2680 0.7320
0.7500 0.7320 0.2680
```

Calculated values
- Raw total energy: -5.037 eV per atom
- Space group: C2/c, No. 15
- Total magnetic moment: 0.0 μB/cell

A plane-wave DFT calculation with PBE+U was carried out for CoSi2O2 after structural relaxation.

Cell and atoms, written as POSCAR:
```
CoSi2O2
1.0
-1.2560 -1.6214 -5.4152
3.0569 -4.8610 0.7465
-2.8562 -1.6199 1.1475
Co O Si
2 4 4
Direct
0.0000 0.0000 0.0000
0.5000 0.5000 0.0000
0.8224 0.6776 0.0000
0.3224 0.8224 0.0000
0.1776 0.3224 0.0000
0.6776 0.1776 0.0000
0.8519 0.6481 0.5000
0.3519 0.8519 0.5000
0.1481 0.3519 0.5000
0.6481 0.1481 0.5000
```

Calculated values
- Raw total energy: -5.902 eV per atom
- Space group: P4/mbm, No. 127
- Total magnetic moment: 4.1 μB/cell

A plane-wave DFT calculation with PBE+U was carried out for CoSiO2 after structural relaxation.

Cell and atoms, written as POSCAR:
```
CoSiO2
1.0
0.0000 2.7223 2.7223
2.7223 0.0000 2.7223
2.7223 2.7223 0.0000
Co O Si
1 2 1
Direct
0.5000 0.5000 0.5000
0.2500 0.2500 0.2500
0.7500 0.7500 0.7500
0.0000 0.0000 0.0000
```

Calculated values
- Raw total energy: -5.361 eV per atom
- Space group: Fm-3m, No. 225
- Total magnetic moment: 3.0 μB/cell

A plane-wave DFT calculation with PBE+U was carried out for CoSi3O after structural relaxation.

Cell and atoms, written as POSCAR:
```
CoSi3O
1.0
3.9712 0.0000 0.0000
0.0000 3.9712 0.0000
0.0000 0.0000 3.9712
Si Co O
3 1 1
Direct
0.0000 0.0000 0.5000
0.5000 0.0000 0.0000
0.0000 0.5000 0.0000
0.5000 0.5000 0.5000
0.0000 0.0000 0.0000
```

Calculated values
- Raw total energy: -4.761 eV per atom
- Space group: Pm-3m, No. 221
- Total magnetic moment: 0.0 μB/cell

A plane-wave DFT calculation with PBE+U was carried out for CoSiO2 after structural relaxation.

Cell and atoms, written as POSCAR:
```
CoSiO2
1.0
-4.9500 -0.1471 3.3505
-3.9941 -2.8890 3.3839
-2.8353 -0.9253 5.1822
O Co Si
2 1 1
Direct
0.9022 0.9022 0.9022
0.0978 0.0978 0.0978
0.5000 0.5000 0.5000
0.0000 0.0000 0.0000
```

Calculated values
- Raw total energy: -6.236 eV per atom
- Space group: R-3m, No. 166
- Total magnetic moment: 3.0 μB/cell

A plane-wave DFT calculation with PBE+U was carried out for CoSiO2 after structural relaxation.

Cell and atoms, written as POSCAR:
```
CoSiO2
1.0
4.5975 0.0000 0.0000
0.0000 4.5975 0.0000
2.2988 2.2988 4.1614
Co O Si
2 4 2
Direct
0.7500 0.2500 0.5000
0.0000 0.0000 0.0000
0.5232 0.1250 0.2500
0.8750 0.7732 0.7500
0.3750 0.4768 0.7500
0.2268 0.6250 0.2500
0.2500 0.7500 0.5000
0.5000 0.5000 0.0000
```

Calculated values
- Raw total energy: -6.138 eV per atom
- Space group: I-42d, No. 122
- Total magnetic moment: 3.0 μB/cell

A plane-wave DFT calculation with PBE+U was carried out for CoSiO2 after structural relaxation.

Cell and atoms, written as POSCAR:
```
CoSiO2
1.0
-4.8051 5.5690 5.2657
-2.3620 6.3759 5.9665
-3.5373 7.4052 3.8054
Co Si O
1 1 2
Direct
0.0000 0.0000 0.0000
0.5000 0.5000 0.5000
0.1321 0.1321 0.1321
0.8679 0.8679 0.8679
```

Calculated values
- Raw total energy: -6.493 eV per atom
- Space group: R-3m, No. 166
- Total magnetic moment: 2.1 μB/cell

A plane-wave DFT calculation with PBE+U was carried out for CoSi2O2 after structural relaxation.

Cell and atoms, written as POSCAR:
```
CoSi2O2
1.0
4.2117 0.0000 0.0000
0.0000 4.2117 0.0000
2.1058 2.1058 3.5205
O Si Co
2 2 1
Direct
0.7213 0.7213 0.5574
0.2787 0.2787 0.4426
0.7500 0.2500 0.5000
0.2500 0.7500 0.5000
0.0000 0.0000 0.0000
```

Calculated values
- Raw total energy: -5.370 eV per atom
- Space group: I4/mmm, No. 139
- Total magnetic moment: 1.4 μB/cell

A plane-wave DFT calculation with PBE+U was carried out for CoSiO4 after structural relaxation.

Cell and atoms, written as POSCAR:
```
CoSiO4
1.0
5.4564 0.0000 0.0000
0.0000 8.5905 0.0000
0.0000 0.0000 10.1734
O Si Co
16 4 4
Direct
0.7112 0.8397 0.1775
0.0571 0.0429 0.3132
0.7371 0.6641 0.9635
0.2371 0.3359 0.0365
0.5571 0.5429 0.1868
0.0333 0.8937 0.6701
0.5333 0.1063 0.3299
0.2371 0.1641 0.5365
0.5571 0.9571 0.6868
0.5333 0.3937 0.8299
0.7371 0.8359 0.4635
0.0333 0.6063 0.1701
0.7112 0.6603 0.6775
0.0571 0.4571 0.8132
0.2112 0.1603 0.8225
0.2112 0.3397 0.3225
0.7595 0.6629 0.1246
0.7595 0.8371 0.6246
0.2595 0.3371 0.8754
0.2595 0.1629 0.3754
0.2598 0.4566 0.1788
0.2598 0.0434 0.6788
0.7598 0.9566 0.3212
0.7598 0.5434 0.8212
```

Calculated values
- Raw total energy: -6.628 eV per atom
- Space group: Pna2_1, No. 33
- Total magnetic moment: 20.2 μB/cell

A plane-wave DFT calculation with PBE+U was carried out for CoSi3O after structural relaxation.

Cell and atoms, written as POSCAR:
```
CoSi3O
1.0
-3.7457 1.5767 -1.0319
-1.0514 0.1567 4.0560
1.5637 3.8821 0.2554
Si Co O
3 1 1
Direct
0.0000 0.5000 0.0000
0.5000 0.0000 0.0000
0.0000 0.0000 0.5000
0.0000 0.0000 0.0000
0.5000 0.5000 0.5000
```

Calculated values
- Raw total energy: -4.871 eV per atom
- Space group: Pm-3m, No. 221
- Total magnetic moment: 0.0 μB/cell

A plane-wave DFT calculation with PBE+U was carried out for Sr2CoSi2O7 after structural relaxation.

Cell and atoms, written as POSCAR:
```
Sr2CoSi2O7
1.0
-1.9086 -4.8673 -0.0003
0.7017 -0.2757 8.0712
-7.5142 2.9465 0.7539
O Sr Si Co
14 4 4 2
Direct
0.1630 0.0000 0.5000
0.7448 0.1397 0.3603
0.2001 0.3088 0.4202
0.7999 0.4202 0.6912
0.7448 0.8603 0.6397
0.2001 0.9202 0.8088
0.2001 0.6912 0.5798
0.8370 0.5000 0.0000
0.2552 0.6397 0.1397
0.2001 0.0798 0.1912
0.7999 0.5798 0.3088
0.2552 0.3603 0.8603
0.7999 0.8088 0.0798
0.7999 0.1912 0.9202
0.5068 0.1665 0.6665
0.4932 0.6665 0.8335
0.4932 0.3335 0.1665
0.5068 0.8335 0.3335
0.0540 0.1383 0.3617
0.9460 0.6383 0.1383
0.9460 0.3617 0.8617
0.0540 0.8617 0.6383
0.0000 0.5000 0.5000
0.0000 0.0000 0.0000
```

Calculated values
- Raw total energy: -7.207 eV per atom
- Space group: P-42_1m, No. 113
- Total magnetic moment: 6.0 μB/cell

A plane-wave DFT calculation with PBE+U was carried out for SrCo2SiO4 after structural relaxation.

Cell and atoms, written as POSCAR:
```
SrCo2SiO4
1.0
5.4857 0.3582 0.0000
-0.0981 5.4965 0.0000
-2.6938 -2.9273 3.2706
O Co Sr Si
4 2 1 1
Direct
0.4783 0.8288 0.3071
0.8288 0.4783 0.3071
0.5220 0.5220 0.7037
0.1818 0.1818 0.7039
0.7476 0.2475 0.4950
0.2475 0.7476 0.4950
0.9934 0.9934 0.9868
0.5009 0.5009 0.0018
```

Calculated values
- Raw total energy: -6.447 eV per atom
- Space group: Fmm2, No. 42
- Total magnetic moment: 4.0 μB/cell

A plane-wave DFT calculation with PBE+U was carried out for ZnCoSi2O6 after structural relaxation.

Cell and atoms, written as POSCAR:
```
ZnCoSi2O6
1.0
-1.3287 0.9671 -5.1213
-0.4388 -6.1000 -3.0023
-6.8102 0.0467 -0.1885
O Zn Co Si
12 2 2 4
Direct
0.6266 0.1404 0.6195
0.6466 0.7914 0.9603
0.5355 0.6219 0.6675
0.1466 0.9603 0.7914
0.1266 0.6195 0.1404
0.3734 0.8596 0.3805
0.4645 0.3781 0.3325
0.3534 0.2086 0.0397
0.0355 0.6675 0.6219
0.8734 0.3805 0.8596
0.9645 0.3325 0.3781
0.8534 0.0397 0.2086
0.2500 0.2318 0.7682
0.7500 0.7682 0.2318
0.7500 0.1071 0.8929
0.2500 0.8929 0.1071
0.2714 0.7812 0.6131
0.7714 0.6131 0.7812
0.7286 0.2188 0.3869
0.2286 0.3869 0.2188
```

Calculated values
- Raw total energy: -6.854 eV per atom
- Space group: C2/c, No. 15
- Total magnetic moment: 6.0 μB/cell